VASP calculation (PBE-GGA) on a relaxed CeSm2In2Ag2 crystal.

Calculated values
Calculated volume, A^3/atom: 26.85
Energy of formation from the pure elements, eV per atom: -0.256
Total magnetization, μB per cell: 1.08

Geometry as POSCAR:
```
CeSm2In2Ag2
1.0
4.9247 0.0000 0.0000
2.4623 4.2649 0.0000
2.4623 1.4216 8.9498
In Sm Ag Ce
2 2 2 1
direct
0.7381 0.7381 0.7857 In
0.2619 0.2619 0.2143 In
0.8742 0.8742 0.3774 Sm
0.1258 0.1258 0.6226 Sm
0.6006 0.6006 0.1983 Ag
0.3994 0.3994 0.8017 Ag
0.0000 0.0000 0.0000 Ce
```